(1)
Material: MoIN2O
Method: DFT, PBE+U
State: relaxed

Calculated total energy (eV/atom): -5.001

Cell and atoms, written as POSCAR:
```
MoIN2O
1.0
3.849 0.000 0.000
0.000 3.849 0.000
0.000 0.000 5.959
Mo N O I
1 2 1 1
direct
0.000 0.000 0.000 Mo
0.500 0.000 0.000 N
0.000 0.500 0.000 N
0.500 0.500 0.500 O
0.000 0.000 0.500 I
```

(2)
Material: MoIN2O
Method: DFT, PBE+U
State: relaxed

Calculated total energy (eV/atom): -5.341

Cell and atoms, written as POSCAR:
```
MoIN2O
1.0
-1.556 3.863 -0.117
-3.293 -1.259 2.219
1.886 0.859 3.286
N I Mo O
2 1 1 1
direct
0.000 0.500 0.000 N
0.500 0.000 0.000 N
0.500 0.500 0.500 I
0.000 0.000 0.000 Mo
0.000 0.000 0.500 O
```

(3)
Material: MoI2NO
Method: DFT, PBE+U
State: relaxed

ΔE to the lowest computed polymorph (eV/f.u.): 0.00

Cell and atoms, written as POSCAR:
```
MoI2NO
1.0
-4.419 -3.294 -1.537
2.229 -4.367 2.951
-1.930 1.129 3.129
I Mo N O
2 1 1 1
direct
0.000 0.500 0.000 I
0.500 0.000 0.000 I
0.000 0.000 0.000 Mo
0.500 0.500 0.500 N
0.000 0.000 0.500 O
```

(4)
Material: MoINO2
Method: DFT, PBE+U
State: relaxed

Calculated total energy (eV/atom): -3.895

Cell and atoms, written as POSCAR:
```
MoINO2
1.0
-2.496 2.899 -1.362
-0.357 -1.967 -3.534
-3.252 -2.097 1.496
I O Mo N
1 2 1 1
direct
0.000 0.000 0.500 I
0.500 0.000 0.000 O
0.000 0.500 0.000 O
0.500 0.500 0.500 Mo
0.000 0.000 0.000 N
```

(5)
Material: MoIN2O
Method: DFT, PBE+U
State: relaxed

Calculated total energy (eV/atom): -4.534

Cell and atoms, written as POSCAR:
```
MoIN2O
1.0
4.174 0.000 0.000
0.000 4.174 0.000
0.000 0.000 3.984
O Mo N I
1 1 2 1
direct
0.000 0.000 0.500 O
0.500 0.500 0.500 Mo
0.000 0.500 0.000 N
0.500 0.000 0.000 N
0.000 0.000 0.000 I
```

(6)
Material: MoI2NO
Method: DFT, PBE+U
State: relaxed

ΔE to the lowest computed polymorph (eV/f.u.): 5.64

Cell and atoms, written as POSCAR:
```
MoI2NO
1.0
-3.106 2.791 2.517
-3.185 -3.688 0.158
1.633 -1.264 3.416
N Mo I O
1 1 2 1
direct
0.000 0.000 0.500 N
0.500 0.500 0.500 Mo
0.500 0.000 0.000 I
0.000 0.500 0.000 I
0.000 0.000 0.000 O
```

(7)
Material: MoIN2O
Method: DFT, PBE+U
State: relaxed

Calculated total energy (eV/atom): -3.938

Cell and atoms, written as POSCAR:
```
MoIN2O
1.0
-2.820 -3.031 0.892
-0.668 -0.597 -4.139
3.025 -2.838 -0.079
I Mo N O
1 1 2 1
direct
0.000 0.000 0.500 I
0.500 0.500 0.500 Mo
0.500 0.000 0.000 N
0.000 0.500 0.000 N
0.000 0.000 0.000 O
```

(8)
Material: MoI2NO
Method: DFT, PBE+U
State: relaxed

ΔE to the lowest computed polymorph (eV/f.u.): 0.40

Cell and atoms, written as POSCAR:
```
MoI2NO
1.0
-4.682 0.548 -3.226
-0.618 -5.679 -0.067
-2.173 0.199 3.188
N I Mo O
1 2 1 1
direct
0.000 0.000 0.500 N
0.500 0.000 0.000 I
0.000 0.500 0.000 I
0.000 0.000 0.000 Mo
0.500 0.500 0.500 O
```

(9)
Material: MoINO2
Method: DFT, PBE+U
State: relaxed

Calculated total energy (eV/atom): -4.608

Cell and atoms, written as POSCAR:
```
MoINO2
1.0
-1.736 -0.235 -3.634
-2.897 -2.350 1.536
-2.465 3.654 0.942
O Mo N I
2 1 1 1
direct
0.500 0.000 0.000 O
0.000 0.500 0.000 O
0.500 0.500 0.500 Mo
0.000 0.000 0.500 N
0.000 0.000 0.000 I
```

(10)
Material: MoI2NO
Method: DFT, PBE+U
State: relaxed

ΔE to the lowest computed polymorph (eV/f.u.): 2.58

Cell and atoms, written as POSCAR:
```
MoI2NO
1.0
-2.013 -3.927 2.666
4.654 -2.203 0.269
0.672 1.804 3.165
I N O Mo
2 1 1 1
direct
0.000 0.500 0.000 I
0.500 0.000 0.000 I
0.000 0.000 0.000 N
0.000 0.000 0.500 O
0.500 0.500 0.500 Mo
```